--- w ---
Compound: NaCdIBr2
Source: Alexandria
Functional: PBE
Structure: optimized geometry

The space group is P2_1/m (No. 11) and the conventional cell measures 7.846, 5.986 and 8.631 Å, with angles of 90.00, 98.96 and 90.00 degrees. The asymmetric unit holds Na at (0.186, 0.250, 0.442), Cd at (0.095, 0.250, 0.855), I at (0.417, 0.250, 0.773), Br at (0.035, 0.750, 0.878) and Br at (0.140, 0.750, 0.407).

As for the calculated volume: 40.0 Å³/atom. As for the magnetization: 0.000 μB/cell. The calculation puts the density at 3.5 Mg/m³.

--- x ---
Compound: NaCdIBr2
Source: Alexandria
Functional: PBE
Structure: optimized geometry

The space group is P4/mmm (No. 123) and the conventional cell measures 5.493, 5.493 and 6.008 Å, with angles of 90.00, 90.00 and 90.00 degrees. The asymmetric unit holds Na at (0.000, 0.000, 0.000), Cd at (0.500, 0.500, 0.500), I at (0.500, 0.500, 0.000) and Br at (0.000, 0.500, 0.500).

As for the calculated volume: 36.3 Å³/atom. As for the magnetization: 0.000 μB/cell. The calculation puts the density at 3.9 Mg/m³.

w is preferred energetically. Next in line: 14.9 kJ/mol of atoms higher.